(1)
Material: MnOsPt4
Method: DFT, PBE-GGA
State: optimized geometry

Lattice parameters (Å, degrees): 5.206 5.206 5.206 60.00 60.00 60.00
Element x y z (fractional)
Mn 0.000 0.000 0.000
Os 0.250 0.250 0.250
Pt 0.125 0.625 0.625
Pt 0.625 0.125 0.625
Pt 0.625 0.625 0.125
Pt 0.625 0.625 0.625

Results
Space group ... F-43m (216)
DOS at the Fermi energy ... 0.725 states/eV/atom
Mass density ... 17067 kg/m³
Formation energy from the elements ... 0.393 eV/atom

(2)
Material: MnOs2Pt
Method: DFT, PBE-GGA
State: optimized geometry

Lattice parameters (Å, degrees): 2.705 2.705 9.150 90.00 90.00 117.99
Element x y z (fractional)
Mn 0.000 0.000 0.000
Os 0.000 0.000 0.513
Os 0.500 0.500 0.762
Pt 0.500 0.500 0.244

Results
Space group ... Cmm2 (35)
DOS at the Fermi energy ... 1.101 states/eV/atom
Mass density ... 17714 kg/m³
Formation energy from the elements ... 0.353 eV/atom

(3)
Material: Pu2MnOs
Method: DFT, PBE-GGA
State: optimized geometry

Lattice parameters (Å, degrees): 4.676 4.676 3.526 90.00 90.00 90.00
Element x y z (fractional)
Pu 0.000 0.500 0.000
Pu 0.500 0.000 0.000
Mn 0.000 0.000 0.500
Os 0.500 0.500 0.500

Results
Space group ... P4/mmm (123)
DOS at the Fermi energy ... 2.324 states/eV/atom
Mass density ... 15796 kg/m³
Formation energy from the elements ... 0.053 eV/atom

What is the DOS at the Fermi energy in the third record?
2.324 states/eV/atom